First-principles (GGA+U) data for crystalline CrPPbO6 at its relaxed geometry, as listed in Alexandria via LeMat-Bulk.

Properties
ρ: 5.82 g/cm³
total DFT energy (no corrections): -6.6896 eV/atom
total magnetization: 0.112 μB/atom

abc: 4.8645 4.8645 5.3793
angles: 90.00 90.00 120.00
With the nearest neighbours (Å) after each atom.
Atoms (fractional coordinates):
Cr  0.0000  0.0000  0.0000  6 O 1.89
P  0.3333  0.6667  0.0000  6 O 1.73
Pb  0.6667  0.3333  0.5000  6 O 2.55
O  0.0711  0.3579  0.1867  1 P 1.73, 1 Cr 1.89
O  0.0711  0.7131  0.8133  1 P 1.73, 1 Cr 1.89
O  0.2869  0.3579  0.8133  1 P 1.73, 1 Cr 1.89
O  0.2869  0.9289  0.1867  1 P 1.73, 1 Cr 1.89
O  0.6421  0.7131  0.1867  1 P 1.73, 1 Cr 1.89
O  0.6421  0.9289  0.8133  1 P 1.73, 1 Cr 1.89